# 1
DFT (PBE) results for an optimized crystal structure of Co2Ir5Ru. Values from VASP.

## Properties
* space-group type: I4/mcm, No. 140
* total energy: -8.186 eV per atom
* crystal system: tetragonal
* formation energy: 28 kJ per mole of atoms
* D(E_F): 24.4 states/eV per cell

```
&SYSTEM
  ibrav = 0, nat = 16, ntyp = 3
/
ATOMIC_SPECIES
Co 58.93 Co.upf
Ir 192.22 Ir.upf
Ru 101.07 Ru.upf
ATOMIC_POSITIONS angstrom
Co 4.0794 0.8719 0.0000
Co 0.8719 2.3356 0.0000
Co 2.3356 0.8719 5.3829
Co -0.8719 2.3356 5.3829
Ir 0.0000 0.0000 0.0000
Ir 4.1652 -0.9577 1.7208
Ir 2.2498 -0.9577 3.6621
Ir 2.2498 0.9577 1.7208
Ir 4.1652 0.9577 3.6621
Ir 0.0000 0.0000 5.3829
Ir -0.9577 2.2498 1.7208
Ir 0.9577 2.2498 3.6621
Ir 0.9577 4.1652 1.7208
Ir -0.9577 4.1652 3.6621
Ru 0.0000 0.0000 2.6915
Ru 0.0000 0.0000 8.0744
CELL_PARAMETERS angstrom
-3.2075 3.2075 5.3829
3.2075 -3.2075 5.3829
3.2075 3.2075 -5.3829
```

---

# 2
DFT (PBE) results for an optimized crystal structure of PmHo2Ge. Values from VASP.

## Properties
* polymorph energy (0 for the lowest one): 0.000 eV per atom
* space-group type: Cmcm, No. 63
* total energy: -5.078 eV per atom
* crystal system: orthorhombic
* formation energy: -43 kJ per mole of atoms
* D(E_F): 9.6 states/eV per cell

```
&SYSTEM
  ibrav = 0, nat = 8, ntyp = 3
/
ATOMIC_SPECIES
Pm 145.00 Pm.upf
Ho 164.93 Ho.upf
Ge 72.64 Ge.upf
ATOMIC_POSITIONS angstrom
Pm 2.0672 5.2422 6.8411
Pm 2.0672 -5.2422 2.2804
Ho 2.0672 1.7362 5.0760
Ho 2.0672 1.7362 8.6061
Ho 2.0672 -1.7362 0.5153
Ho 2.0672 -1.7362 4.0454
Ge 2.0672 3.0494 2.2804
Ge 2.0672 -3.0494 6.8411
CELL_PARAMETERS angstrom
2.0672 -6.0317 0.0000
2.0672 6.0317 0.0000
0.0000 0.0000 9.1214
```

---

# 3
DFT (PBE) results for an optimized crystal structure of MnCuAg2Ge. Values from VASP.

## Properties
* space-group type: P4/mmm, No. 123
* total energy: -4.043 eV per atom
* crystal system: tetragonal
* formation energy: 65 kJ per mole of atoms
* D(E_F): 2.4 states/eV per cell

```
&SYSTEM
  ibrav = 0, nat = 5, ntyp = 4
/
ATOMIC_SPECIES
Mn 54.94 Mn.upf
Cu 63.55 Cu.upf
Ag 107.87 Ag.upf
Ge 72.64 Ge.upf
ATOMIC_POSITIONS angstrom
Mn 0.0000 0.0000 0.0000
Cu 2.4155 2.4155 2.2100
Ag 0.0000 2.4155 2.2100
Ag 2.4155 0.0000 2.2100
Ge 2.4155 2.4155 0.0000
CELL_PARAMETERS angstrom
4.8310 0.0000 0.0000
0.0000 4.8310 0.0000
0.0000 0.0000 4.4200
```

---

# 4
DFT (PBE) results for an optimized crystal structure of ErCdPdAu. Values from VASP.

## Properties
* space-group type: F-43m, No. 216
* total energy: -4.179 eV per atom
* crystal system: cubic
* formation energy: -67 kJ per mole of atoms
* D(E_F): 2.5 states/eV per cell

```
&SYSTEM
  ibrav = 0, nat = 4, ntyp = 4
/
ATOMIC_SPECIES
Er 167.26 Er.upf
Cd 112.41 Cd.upf
Pd 106.42 Pd.upf
Au 196.97 Au.upf
ATOMIC_POSITIONS angstrom
Er 0.0000 0.0000 0.0000
Cd 3.4237 3.4237 3.4237
Pd 5.1355 5.1355 5.1355
Au 1.7118 1.7118 1.7118
CELL_PARAMETERS angstrom
0.0000 3.4237 3.4237
3.4237 0.0000 3.4237
3.4237 3.4237 0.0000
```

---

# 5
DFT (PBE) results for an optimized crystal structure of MgTeMo4. Values from VASP.

## Properties
* formation energy without anion corrections: 0.472 eV per atom
* space-group type: F-43m, No. 216
* total energy: -7.538 eV per atom
* crystal system: cubic
* D(E_F): 5.9 states/eV per cell

```
&SYSTEM
  ibrav = 0, nat = 6, ntyp = 3
/
ATOMIC_SPECIES
Mg 24.30 Mg.upf
Te 127.60 Te.upf
Mo 95.94 Mo.upf
ATOMIC_POSITIONS angstrom
Mg 0.0000 0.0000 0.0000
Te 1.8967 1.8967 1.8967
Mo 4.7463 2.8405 2.8405
Mo 2.8405 4.7463 2.8405
Mo 2.8405 2.8405 4.7463
Mo 4.7463 4.7463 4.7463
CELL_PARAMETERS angstrom
0.0000 3.7934 3.7934
3.7934 0.0000 3.7934
3.7934 3.7934 0.0000
```

---

# 6
DFT (PBE) results for an optimized crystal structure of Li4TbIn4. Values from VASP.

## Properties
* space-group type: P4_2/nmc, No. 137
* total energy: -2.812 eV per atom
* crystal system: tetragonal
* formation energy: -22 kJ per mole of atoms
* D(E_F): 5.7 states/eV per cell

```
&SYSTEM
  ibrav = 0, nat = 18, ntyp = 3
/
ATOMIC_SPECIES
Li 6.94 Li.upf
Tb 158.93 Tb.upf
In 114.82 In.upf
ATOMIC_POSITIONS angstrom
Li 0.2116 1.5693 1.7637
Li 1.5693 0.2116 6.6936
Li 1.5693 2.9269 6.6936
Li 2.9269 1.5693 1.7637
Li 3.3501 4.7078 8.0961
Li 4.7078 3.3501 3.1662
Li 4.7078 6.0654 3.1662
Li 6.0654 4.7078 8.0961
Tb 1.5693 4.7078 2.4650
Tb 4.7078 1.5693 7.3949
In 0.0914 1.5693 4.5966
In 1.5693 0.0914 9.5265
In 1.5693 3.0471 9.5265
In 3.0471 1.5693 4.5966
In 3.2299 4.7078 5.2632
In 4.7078 3.2299 0.3333
In 4.7078 6.1856 0.3333
In 6.1856 4.7078 5.2632
CELL_PARAMETERS angstrom
6.2770 0.0000 0.0000
0.0000 6.2770 0.0000
0.0000 0.0000 9.8598
```